Material: SmCuB
Method: DFT, GGA-PBE
State: optimized geometry

## Properties
energy of formation from the pure elements = -0.27 eV/f.u.
total moment = 0.0 μB/f.u.

Structure (POSCAR):
```
SmCuB
1.0
-1.2817 3.5644 0.7601
-3.1210 -2.7218 -2.3170
-1.1211 -1.7394 6.2663
Sm B Cu
2 2 2
direct
0.1018 0.2036 0.7878
0.8982 0.7964 0.2122
0.4222 0.8445 0.9122
0.5778 0.1555 0.0878
0.6411 0.2822 0.4214
0.3589 0.7178 0.5786
```

***

Material: CuSnB
Method: DFT, GGA-PBE
State: optimized geometry

## Properties
energy of formation from the pure elements = 2.70 eV/f.u.
total moment = 0.0 μB/f.u.

Structure (POSCAR):
```
CuSnB
1.0
-3.0066 0.3353 2.3998
-0.2124 -2.3692 -3.0418
2.6908 -5.5686 4.1493
Sn Cu B
2 2 2
direct
0.6667 0.3333 0.2500
0.3333 0.6667 0.7500
0.0000 0.0000 0.5000
0.0000 0.0000 0.0000
0.6667 0.3333 0.7500
0.3333 0.6667 0.2500
```

***

Material: CuSnB
Method: DFT, GGA-PBE
State: optimized geometry

## Properties
energy of formation from the pure elements = 0.75 eV/f.u.
total moment = 0.0 μB/f.u.

Structure (POSCAR):
```
CuSnB
1.0
3.9378 0.0757 0.0177
-1.1663 2.8855 0.0364
1.1224 -2.6630 8.5131
Cu B Sn
2 2 2
direct
0.1652 0.3242 0.3112
0.1642 0.8234 0.8104
0.7249 0.5806 0.2870
0.6054 0.0668 0.3337
0.7456 0.3117 0.0003
0.5834 0.3357 0.6207
```

***

Material: Cu3SnB
Method: DFT, GGA-PBE
State: optimized geometry

## Properties
energy of formation from the pure elements = 7.97 eV/f.u.
total moment = 0.0 μB/f.u.
polymorph energy (0 for the lowest one) = 1340 meV/atom

Structure (POSCAR):
```
Cu3SnB
1.0
4.8354 0.0000 0.0000
0.0000 4.8354 0.0000
0.0000 0.0000 4.8354
Cu B Sn
3 1 1
direct
0.0000 0.0000 0.5000
0.5000 0.0000 0.0000
0.0000 0.5000 0.0000
0.5000 0.5000 0.5000
0.0000 0.0000 0.0000
```

***

Material: CuSnB
Method: DFT, GGA-PBE
State: optimized geometry

## Properties
energy of formation from the pure elements = 1.48 eV/f.u.
total moment = 0.0 μB/f.u.

Structure (POSCAR):
```
CuSnB
1.0
-6.5932 2.8981 5.9319
-2.6242 -0.8366 -2.5080
-0.3493 -4.8629 1.9876
Sn B Cu
4 4 4
direct
0.6560 0.2500 0.0222
0.3440 0.7500 0.9778
0.1560 0.2500 0.4778
0.8440 0.7500 0.5222
0.4028 0.2500 0.2719
0.9028 0.2500 0.2281
0.5972 0.7500 0.7281
0.0972 0.7500 0.7719
0.5837 0.2500 0.5263
0.0837 0.2500 0.9737
0.9163 0.7500 0.0263
0.4163 0.7500 0.4737
```

***

Material: CuSnB
Method: DFT, GGA-PBE
State: optimized geometry

## Properties
energy of formation from the pure elements = 2.17 eV/f.u.
total moment = 0.0 μB/f.u.

Structure (POSCAR):
```
CuSnB
1.0
-1.5901 0.0182 2.4881
2.2680 -1.2037 1.4583
3.4510 9.0944 2.1392
Sn B Cu
2 2 2
direct
0.5000 0.0000 0.2244
0.0000 0.5000 0.7756
0.0000 0.0000 0.0000
0.5000 0.5000 0.0000
0.0000 0.5000 0.4261
0.5000 0.0000 0.5739
```

***

Material: CuSnB
Method: DFT, GGA-PBE
State: optimized geometry

## Properties
energy of formation from the pure elements = 1.00 eV/f.u.
total moment = 0.0 μB/f.u.

Structure (POSCAR):
```
CuSnB
1.0
-3.1127 -3.8527 8.7693
2.5601 -1.9344 0.0589
3.0572 4.1344 2.9016
Sn Cu B
4 4 4
direct
0.2786 0.2500 0.0829
0.7214 0.7500 0.9171
0.2214 0.7500 0.5829
0.7786 0.2500 0.4171
0.4544 0.7500 0.8370
0.9544 0.7500 0.6630
0.0456 0.2500 0.3370
0.5456 0.2500 0.1630
0.0000 0.5000 0.0000
0.5000 0.5000 0.5000
0.5000 0.0000 0.5000
0.0000 0.0000 0.0000
```

***

Material: Cu2SnB2
Method: DFT, GGA-PBE
State: optimized geometry

## Properties
energy of formation from the pure elements = 3.32 eV/f.u.
total moment = 0.0 μB/f.u.
polymorph energy (0 for the lowest one) = 179 meV/atom

Structure (POSCAR):
```
Cu2SnB2
1.0
-1.2129 -4.6633 3.2425
5.2499 -2.1859 -1.1800
1.3787 1.7074 2.9712
Cu B Sn
4 4 2
direct
0.1537 0.6537 0.5000
0.8463 0.3463 0.5000
0.3463 0.1537 0.5000
0.6537 0.8463 0.5000
0.9006 0.5994 0.0000
0.5994 0.0994 0.0000
0.4006 0.9006 0.0000
0.0994 0.4006 0.0000
0.0000 0.0000 0.0000
0.5000 0.5000 0.0000
```

***

Material: Cu2SnB2
Method: DFT, GGA-PBE
State: optimized geometry

## Properties
energy of formation from the pure elements = 2.43 eV/f.u.
total moment = 0.0 μB/f.u.
polymorph energy (0 for the lowest one) = 0 meV/atom

Structure (POSCAR):
```
Cu2SnB2
1.0
-0.2566 -1.2858 -3.4123
-0.9392 -3.2820 1.3073
-4.9172 -1.0967 -1.1750
Cu B Sn
2 2 1
direct
0.7500 0.2500 0.5000
0.2500 0.7500 0.5000
0.5936 0.5936 0.8128
0.4064 0.4064 0.1872
0.0000 0.0000 0.0000
```

***

Material: CuSnB
Method: DFT, GGA-PBE
State: optimized geometry

## Properties
energy of formation from the pure elements = 0.88 eV/f.u.
total moment = 0.0 μB/f.u.

Structure (POSCAR):
```
CuSnB
1.0
-2.3523 -1.2165 -1.6753
2.8140 -3.0881 -1.7084
-0.2109 -5.5811 4.3465
Sn Cu B
2 2 2
direct
0.3394 0.4004 0.0501
0.8391 0.0523 0.6832
0.3390 0.5745 0.6338
0.8392 0.5263 0.3368
0.8396 0.0130 0.3287
0.3395 0.8872 0.3305
```

***

Material: CuSnB
Method: DFT, GGA-PBE
State: optimized geometry

## Properties
energy of formation from the pure elements = 0.83 eV/f.u.
total moment = 0.0 μB/f.u.

Structure (POSCAR):
```
CuSnB
1.0
5.9245 0.0006 0.0255
-0.0025 3.1370 -0.0002
-2.9058 -0.0011 5.1812
B Sn Cu
2 2 2
direct
0.4154 0.4190 0.1978
0.3395 0.9189 0.1142
0.9036 0.9195 0.0243
0.2335 0.9176 0.6621
0.7346 0.9193 0.3755
0.5870 0.4190 0.6169
```

***

Material: CuSnB
Method: DFT, GGA-PBE
State: optimized geometry

## Properties
energy of formation from the pure elements = 0.73 eV/f.u.
total moment = 0.0 μB/f.u.

Structure (POSCAR):
```
CuSnB
1.0
3.1142 -0.0076 0.0049
-1.5558 3.6400 -0.0179
1.5147 -2.0508 8.5987
B Sn Cu
2 2 2
direct
0.0769 0.2029 0.2876
0.6315 0.3573 0.3337
0.5969 0.5730 0.6177
0.1117 0.9870 0.0034
0.8542 0.2801 0.8106
0.3542 0.7799 0.3103
```

***

Material: Cu3SnB
Method: DFT, GGA-PBE
State: optimized geometry

## Properties
energy of formation from the pure elements = 1.27 eV/f.u.
total moment = 0.0 μB/f.u.
polymorph energy (0 for the lowest one) = 0 meV/atom

Structure (POSCAR):
```
Cu3SnB
1.0
-3.1519 0.4262 -2.6196
2.5847 -0.4305 -3.1799
-0.6026 -4.0757 0.0619
Cu Sn B
3 1 1
direct
0.0000 0.5000 0.0000
0.5000 0.0000 0.0000
0.0000 0.0000 0.5000
0.5000 0.5000 0.5000
0.0000 0.0000 0.0000
```

***

Material: CuSnB
Method: DFT, GGA-PBE
State: optimized geometry

## Properties
energy of formation from the pure elements = 1.07 eV/f.u.
total moment = 0.0 μB/f.u.

Structure (POSCAR):
```
CuSnB
1.0
-2.3593 4.2314 -3.0978
-1.6869 -2.8736 -2.1650
-3.0476 -2.8273 3.5684
B Sn Cu
2 2 2
direct
0.1996 0.2486 0.1977
0.2047 0.4028 0.4456
0.8708 0.7851 0.9241
0.5300 0.7145 0.2613
0.1966 0.2798 0.8274
0.2213 0.8597 0.5576
```

***

Material: CuSnB
Method: DFT, GGA-PBE
State: optimized geometry

## Properties
energy of formation from the pure elements = 0.79 eV/f.u.
total moment = 0.0 μB/f.u.

Structure (POSCAR):
```
CuSnB
1.0
3.0870 0.0542 0.0392
-1.5660 3.6037 0.0127
-3.1826 1.9058 8.9930
Cu B Sn
2 2 2
direct
0.4636 0.1082 0.2916
0.7988 0.7999 0.7979
0.2072 0.5223 0.3263
0.7824 0.6398 0.3443
0.9651 0.4776 0.6149
0.2283 0.2691 0.9882
```

***

Material: CuSnB
Method: DFT, GGA-PBE
State: optimized geometry

## Properties
energy of formation from the pure elements = 1.40 eV/f.u.
total moment = 0.0 μB/f.u.

Structure (POSCAR):
```
CuSnB
1.0
-0.5633 -1.0517 2.6850
-2.6120 -0.9729 -0.9291
4.5098 -9.4694 -2.7630
B Sn Cu
2 2 2
direct
0.5000 0.5000 0.5000
0.0000 0.0000 0.5000
0.0000 0.5000 0.1617
0.5000 0.0000 0.8383
0.5000 0.0000 0.3571
0.0000 0.5000 0.6429
```

***

Material: CuSnB
Method: DFT, GGA-PBE
State: optimized geometry

## Properties
energy of formation from the pure elements = 0.76 eV/f.u.
total moment = 0.0 μB/f.u.

Structure (POSCAR):
```
CuSnB
1.0
6.0916 0.0699 -0.0389
-0.9408 2.9945 0.0303
-2.2230 -2.5944 5.0447
B Sn Cu
2 2 2
direct
0.4020 0.2292 0.1562
0.3601 0.7293 0.1984
0.8770 0.3317 0.0159
0.2197 0.8318 0.6733
0.7819 0.9455 0.3691
0.5729 0.4458 0.5779
```

***

Material: CuSnB
Method: DFT, GGA-PBE
State: optimized geometry

## Properties
energy of formation from the pure elements = 0.78 eV/f.u.
total moment = 0.0 μB/f.u.

Structure (POSCAR):
```
CuSnB
1.0
5.8552 0.1439 -0.3200
0.7537 3.0211 -0.0079
-2.7276 -0.9113 5.5310
B Sn Cu
2 2 2
direct
0.2484 0.7246 0.8058
0.1605 0.2719 0.8122
0.6859 0.3480 0.4897
0.0082 0.5048 0.1270
0.5804 0.1580 0.0058
0.3073 0.0603 0.5365
```

***

Material: CuSnB
Method: DFT, GGA-PBE
State: optimized geometry

## Properties
energy of formation from the pure elements = 0.71 eV/f.u.
total moment = 0.0 μB/f.u.

Structure (POSCAR):
```
CuSnB
1.0
-2.8783 0.1680 -1.1140
0.0587 -1.0415 3.8140
-1.5581 8.5895 1.0158
Sn B Cu
2 2 2
direct
0.1071 0.4960 0.0037
0.2570 0.4161 0.6188
0.9731 0.5129 0.2874
0.3936 0.4019 0.3373
0.4820 0.0342 0.8107
0.6862 0.9557 0.3053
```

***

Material: CuSnB2
Method: DFT, GGA-PBE
State: optimized geometry

## Properties
energy of formation from the pure elements = 2.67 eV/f.u.
total moment = 0.0 μB/f.u.

Structure (POSCAR):
```
CuSnB2
1.0
3.8207 0.0000 0.0000
0.0000 3.8207 0.0000
1.9104 1.9104 7.1016
B Cu Sn
4 2 2
direct
0.2951 0.6250 0.2500
0.4549 0.1250 0.2500
0.3750 0.5451 0.7500
0.8750 0.7049 0.7500
0.2500 0.7500 0.5000
0.5000 0.5000 0.0000
0.0000 0.0000 0.0000
0.7500 0.2500 0.5000
```

***

Material: CuSn2B
Method: DFT, GGA-PBE
State: optimized geometry

## Properties
energy of formation from the pure elements = 2.21 eV/f.u.
total moment = 0.0 μB/f.u.

Structure (POSCAR):
```
CuSn2B
1.0
5.9959 0.0000 0.0000
0.0000 5.9959 0.0000
2.9980 2.9980 4.7811
Sn B Cu
4 2 2
direct
0.8750 0.8266 0.7500
0.1734 0.6250 0.2500
0.3750 0.4234 0.7500
0.5766 0.1250 0.2500
0.2500 0.7500 0.5000
0.5000 0.5000 0.0000
0.0000 0.0000 0.0000
0.7500 0.2500 0.5000
```

***

Material: CuSnB
Method: DFT, GGA-PBE
State: optimized geometry

## Properties
energy of formation from the pure elements = 2.25 eV/f.u.
total moment = 0.0 μB/f.u.

Structure (POSCAR):
```
CuSnB
1.0
1.3936 3.1914 -0.5896
-3.4838 -0.4906 -0.3111
-1.1245 2.1817 9.1512
Sn Cu B
2 2 2
direct
0.0000 0.0000 0.5000
0.0000 0.0000 0.0000
0.3333 0.6667 0.2500
0.6667 0.3333 0.7500
0.0000 0.0000 0.2500
0.0000 0.0000 0.7500
```

***

Material: CuSnB
Method: DFT, GGA-PBE
State: optimized geometry

## Properties
energy of formation from the pure elements = 0.71 eV/f.u.
total moment = 0.0 μB/f.u.

Structure (POSCAR):
```
CuSnB
1.0
-5.6728 1.7471 -0.4855
-0.4913 -0.7354 3.0881
-1.2964 6.3132 -1.9798
Cu Sn B
2 2 2
direct
0.3899 0.9387 0.2181
0.5771 0.6246 0.4070
0.0049 0.8408 0.1179
0.6796 0.0149 0.7898
0.1715 0.5810 0.6290
0.1676 0.0766 0.6246
```

***

Material: Sr3CuB
Method: DFT, GGA-PBE
State: optimized geometry

## Properties
energy of formation from the pure elements = 2.30 eV/f.u.
total moment = 0.7 μB/f.u.
polymorph energy (0 for the lowest one) = 0 meV/atom

Structure (POSCAR):
```
Sr3CuB
1.0
-3.6766 -2.2314 -3.5877
3.6209 0.7865 -4.1998
2.1771 -5.0765 0.9263
Sr B Cu
3 1 1
direct
0.0000 0.5000 0.0000
0.5000 0.0000 0.0000
0.0000 0.0000 0.5000
0.0000 0.0000 0.0000
0.5000 0.5000 0.5000
```

***

Material: Sr2Cu2B
Method: DFT, GGA-PBE
State: optimized geometry

## Properties
energy of formation from the pure elements = 3.69 eV/f.u.
total moment = 0.0 μB/f.u.
polymorph energy (0 for the lowest one) = 335 meV/atom

Structure (POSCAR):
```
Sr2Cu2B
1.0
-1.0274 -7.8729 1.3547
7.7937 -1.2876 -1.5725
0.8895 0.5631 3.9474
B Sr Cu
2 4 4
direct
0.0000 0.0000 0.0000
0.5000 0.5000 0.0000
0.6845 0.1845 0.0000
0.3155 0.8155 0.0000
0.1845 0.3155 0.0000
0.8155 0.6845 0.0000
0.8941 0.3941 0.5000
0.3941 0.1059 0.5000
0.6059 0.8941 0.5000
0.1059 0.6059 0.5000
```

***

Material: Sr2Cu2B
Method: DFT, GGA-PBE
State: optimized geometry

## Properties
energy of formation from the pure elements = 2.02 eV/f.u.
total moment = 0.0 μB/f.u.
polymorph energy (0 for the lowest one) = 0 meV/atom

Structure (POSCAR):
```
Sr2Cu2B
1.0
3.4885 0.0000 0.0000
0.0000 3.4885 0.0000
1.7443 1.7443 8.9054
Cu Sr B
2 2 1
direct
0.2500 0.7500 0.5000
0.7500 0.2500 0.5000
0.5956 0.5956 0.8087
0.4044 0.4044 0.1913
0.0000 0.0000 0.0000
```